<a>
Below is a PBEsol-optimized structure of ScSe2Cl, with properties calculated at the SCAN level.

extended XYZ file:
```
4
Lattice="1.628 0.940 9.578 -1.628 0.940 9.578 0.000 -1.879 9.578" Properties=species:S:1:pos:R:3 pbc="T T T"
Sc 0.000 0.000 0.000
Se 0.000 0.000 2.543
Se 0.000 0.000 26.191
Cl 0.000 0.000 14.367
```

For the density of states at the Fermi level, the calculation gives 3.792 states/eV/cell.

=====

<b>
Below is a PBEsol-optimized structure of ScSe2Cl, with properties calculated at the SCAN level.

extended XYZ file:
```
4
Lattice="2.040 -2.277 0.000 2.040 2.277 0.000 0.000 0.000 9.786" Properties=species:S:1:pos:R:3 pbc="T T T"
Sc 0.000 0.000 0.000
Se 0.000 0.000 4.836
Se 2.040 0.000 8.075
Cl 2.040 0.000 1.589
```

For the density of states at the Fermi level, the calculation gives 2.308 states/eV/cell.

=====

Most stable structure, least stable structure: <b>, <a>.